{
  "formula": "KW3",
  "functional": "PBEsol",
  "state": "relaxed",
  "cell": [[4.587, -1.310, 0.000], [4.587, 1.310, 0.000], [-0.101, 0.000, 7.409]],
  "species": ["K", "W", "W", "W"],
  "frac_coords": [[0.000, 0.000, 0.000], [0.241, 0.241, 0.659], [0.500, 0.500, 0.500], [0.759, 0.759, 0.341]],
  "crystal_system": "monoclinic",
  "vol_a3_per_cell": 89,
  "formation_energy_ev_per_atom": 1.342,
  "final_energy_ev_per_atom": -9.30,
  "space_group": "C2/m (12)"
}

{
  "formula": "KW3",
  "functional": "PBEsol",
  "state": "relaxed",
  "cell": [[1.391, 0.803, 11.049], [-1.391, 0.803, 11.049], [0.000, -1.607, 11.049]],
  "species": ["K", "W", "W", "W"],
  "frac_coords": [[0.000, 0.000, 0.000], [0.239, 0.239, 0.239], [0.500, 0.500, 0.500], [0.761, 0.761, 0.761]],
  "crystal_system": "trigonal",
  "vol_a3_per_cell": 74,
  "formation_energy_ev_per_atom": 1.042,
  "final_energy_ev_per_atom": -9.60,
  "space_group": "R-3m (166)"
}

{
  "formula": "KW3",
  "functional": "PBEsol",
  "state": "relaxed",
  "cell": [[2.834, -4.817, 0.000], [2.834, 4.817, 0.000], [0.000, 0.000, 2.609]],
  "species": ["K", "W", "W", "W"],
  "frac_coords": [[0.000, 0.000, 0.000], [0.000, 0.500, 0.500], [0.500, 0.000, 0.500], [0.500, 0.500, 0.000]],
  "crystal_system": "orthorhombic",
  "vol_a3_per_cell": 71,
  "formation_energy_ev_per_atom": 1.675,
  "final_energy_ev_per_atom": -8.96,
  "space_group": "Cmmm (65)"
}

{
  "formula": "KYW2",
  "functional": "PBEsol",
  "state": "relaxed",
  "cell": [[3.876, 0.000, 0.000], [0.000, 3.876, 0.000], [0.000, 0.000, 5.307]],
  "species": ["K", "Y", "W", "W"],
  "frac_coords": [[0.000, 0.000, 0.000], [0.500, 0.500, 0.000], [0.000, 0.500, 0.500], [0.500, 0.000, 0.500]],
  "crystal_system": "tetragonal",
  "vol_a3_per_cell": 80,
  "formation_energy_ev_per_atom": 1.367,
  "final_energy_ev_per_atom": -7.53,
  "space_group": "P4/mmm (123)"
}

{
  "formula": "KY2W",
  "functional": "PBEsol",
  "state": "relaxed",
  "cell": [[0.000, 3.735, 3.735], [3.735, 0.000, 3.735], [3.735, 3.735, 0.000]],
  "species": ["K", "Y", "Y", "W"],
  "frac_coords": [[0.000, 0.000, 0.000], [0.250, 0.250, 0.250], [0.500, 0.500, 0.500], [0.750, 0.750, 0.750]],
  "crystal_system": "cubic",
  "vol_a3_per_cell": 104,
  "formation_energy_ev_per_atom": 1.344,
  "final_energy_ev_per_atom": -5.80,
  "space_group": "F-43m (216)"
}

{
  "formula": "KY2W",
  "functional": "PBEsol",
  "state": "relaxed",
  "cell": [[1.748, 1.009, 11.526], [-1.748, 1.009, 11.526], [0.000, -2.018, 11.526]],
  "species": ["K", "Y", "Y", "W"],
  "frac_coords": [[0.000, 0.000, 0.000], [0.226, 0.226, 0.226], [0.774, 0.774, 0.774], [0.500, 0.500, 0.500]],
  "crystal_system": "trigonal",
  "vol_a3_per_cell": 122,
  "formation_energy_ev_per_atom": 0.722,
  "final_energy_ev_per_atom": -6.42,
  "space_group": "R-3m (166)"
}

{
  "formula": "K2YW2",
  "functional": "PBEsol",
  "state": "relaxed",
  "cell": [[-1.762, 1.762, 13.550], [1.762, -1.762, 13.550], [1.762, 1.762, -13.550]],
  "species": ["K", "K", "Y", "W", "W"],
  "frac_coords": [[0.132, 0.132, 0.000], [0.868, 0.868, 0.000], [0.500, 0.500, 0.000], [0.250, 0.750, 0.500], [0.750, 0.250, 0.500]],
  "crystal_system": "tetragonal",
  "vol_a3_per_cell": 168,
  "formation_energy_ev_per_atom": 1.237,
  "final_energy_ev_per_atom": -6.10,
  "space_group": "I4/mmm (139)"
}

{
  "formula": "KY2W",
  "functional": "PBEsol",
  "state": "relaxed",
  "cell": [[0.000, 3.679, 3.679], [3.679, 0.000, 3.679], [3.679, 3.679, 0.000]],
  "species": ["K", "Y", "Y", "W"],
  "frac_coords": [[0.000, 0.000, 0.000], [0.250, 0.250, 0.250], [0.750, 0.750, 0.750], [0.500, 0.500, 0.500]],
  "crystal_system": "cubic",
  "vol_a3_per_cell": 100,
  "formation_energy_ev_per_atom": 1.034,
  "final_energy_ev_per_atom": -6.11,
  "space_group": "Fm-3m (225)"
}

{
  "formula": "KY2W",
  "functional": "PBEsol",
  "state": "relaxed",
  "cell": [[3.161, 0.000, 0.000], [0.000, 4.642, 0.000], [0.000, 0.000, 8.483]],
  "species": ["K", "Y", "Y", "W"],
  "frac_coords": [[0.000, 0.000, 0.000], [0.000, 0.000, 0.413], [0.500, 0.500, 0.643], [0.500, 0.500, 0.301]],
  "crystal_system": "orthorhombic",
  "vol_a3_per_cell": 124,
  "formation_energy_ev_per_atom": 0.936,
  "final_energy_ev_per_atom": -6.21,
  "space_group": "Pmm2 (25)"
}

{
  "formula": "KYW2",
  "functional": "PBEsol",
  "state": "relaxed",
  "cell": [[3.267, 0.000, 0.000], [0.000, 3.267, 0.000], [-0.011, 0.000, 9.857]],
  "species": ["K", "Y", "W", "W"],
  "frac_coords": [[0.000, 0.000, 0.000], [0.504, 0.500, 0.617], [0.003, 0.000, 0.418], [0.503, 0.500, 0.295]],
  "crystal_system": "monoclinic",
  "vol_a3_per_cell": 105,
  "formation_energy_ev_per_atom": 0.710,
  "final_energy_ev_per_atom": -8.18,
  "space_group": "Pm (6)"
}

{
  "formula": "K2YW",
  "functional": "PBEsol",
  "state": "relaxed",
  "cell": [[3.103, -6.649, 0.000], [3.103, 6.649, 0.000], [-1.430, 0.000, 2.665]],
  "species": ["K", "K", "Y", "W"],
  "frac_coords": [[0.000, 0.500, 0.000], [0.500, 0.000, 0.000], [0.000, 0.000, 0.500], [0.500, 0.500, 0.500]],
  "crystal_system": "monoclinic",
  "vol_a3_per_cell": 110,
  "formation_energy_ev_per_atom": 1.315,
  "final_energy_ev_per_atom": -4.41,
  "space_group": "C2/m (12)"
}

{
  "formula": "K2YZrW",
  "functional": "PBEsol",
  "state": "relaxed",
  "cell": [[5.624, 0.000, 0.000], [0.000, 5.624, 0.000], [0.000, 0.000, 5.259]],
  "species": ["K", "K", "Y", "Zr", "W"],
  "frac_coords": [[0.000, 0.500, 0.000], [0.500, 0.000, 0.000], [0.000, 0.000, 0.000], [0.000, 0.000, 0.500], [0.500, 0.500, 0.500]],
  "crystal_system": "tetragonal",
  "vol_a3_per_cell": 166,
  "formation_energy_ev_per_atom": 2.501,
  "final_energy_ev_per_atom": -3.90,
  "space_group": "P4/mmm (123)"
}

{
  "formula": "KZn2W",
  "functional": "PBEsol",
  "state": "relaxed",
  "cell": [[-1.968, 1.968, 4.736], [1.968, -1.968, 4.736], [1.968, 1.968, -4.736]],
  "species": ["K", "Zn", "Zn", "W"],
  "frac_coords": [[0.000, 0.000, 0.000], [0.250, 0.750, 0.500], [0.500, 0.500, 0.000], [0.750, 0.250, 0.500]],
  "crystal_system": "tetragonal",
  "vol_a3_per_cell": 73,
  "formation_energy_ev_per_atom": 1.339,
  "final_energy_ev_per_atom": -3.19,
  "space_group": "I-4m2 (119)"
}

{
  "formula": "KZnW2",
  "functional": "PBEsol",
  "state": "relaxed",
  "cell": [[2.636, 0.000, 0.000], [0.000, 4.007, 0.000], [0.000, 0.000, 7.981]],
  "species": ["K", "Zn", "W", "W"],
  "frac_coords": [[0.000, 0.000, 0.000], [0.500, 0.500, 0.687], [0.000, 0.000, 0.514], [0.500, 0.500, 0.345]],
  "crystal_system": "orthorhombic",
  "vol_a3_per_cell": 84,
  "formation_energy_ev_per_atom": 0.814,
  "final_energy_ev_per_atom": -6.77,
  "space_group": "Pmm2 (25)"
}

{
  "formula": "KZn2W",
  "functional": "PBEsol",
  "state": "relaxed",
  "cell": [[2.727, 0.000, 0.000], [0.000, 2.727, 0.000], [0.000, 0.000, 9.752]],
  "species": ["K", "Zn", "Zn", "W"],
  "frac_coords": [[0.000, 0.000, 0.000], [0.500, 0.500, 0.293], [0.500, 0.500, 0.707], [0.000, 0.000, 0.500]],
  "crystal_system": "tetragonal",
  "vol_a3_per_cell": 72,
  "formation_energy_ev_per_atom": 0.546,
  "final_energy_ev_per_atom": -3.98,
  "space_group": "P4/mmm (123)"
}

{
  "formula": "KZnW2",
  "functional": "PBEsol",
  "state": "relaxed",
  "cell": [[-1.313, 2.468, 5.687], [1.313, -2.468, 5.687], [1.313, 2.468, -5.687]],
  "species": ["K", "Zn", "W", "W"],
  "frac_coords": [[0.000, 0.000, 0.000], [0.500, 0.500, 0.000], [0.288, 0.788, 0.500], [0.712, 0.212, 0.500]],
  "crystal_system": "orthorhombic",
  "vol_a3_per_cell": 74,
  "formation_energy_ev_per_atom": 0.950,
  "final_energy_ev_per_atom": -6.63,
  "space_group": "Immm (71)"
}

{
  "formula": "K3ZnW",
  "functional": "PBEsol",
  "state": "relaxed",
  "cell": [[6.710, 0.000, 0.000], [0.000, 6.710, 0.000], [0.000, 0.000, 6.710]],
  "species": ["K", "K", "K", "Zn", "W"],
  "frac_coords": [[0.000, 0.000, 0.500], [0.000, 0.500, 0.000], [0.500, 0.000, 0.000], [0.500, 0.500, 0.500], [0.000, 0.000, 0.000]],
  "crystal_system": "cubic",
  "vol_a3_per_cell": 302,
  "formation_energy_ev_per_atom": 1.666,
  "final_energy_ev_per_atom": -2.09,
  "space_group": "Pm-3m (221)"
}

{
  "formula": "KZnW2",
  "functional": "PBEsol",
  "state": "relaxed",
  "cell": [[2.657, 0.000, 0.000], [0.000, 4.247, 0.000], [0.000, 0.000, 7.675]],
  "species": ["K", "Zn", "W", "W"],
  "frac_coords": [[0.000, 0.000, 0.000], [0.000, 0.000, 0.500], [0.500, 0.500, 0.345], [0.500, 0.500, 0.655]],
  "crystal_system": "orthorhombic",
  "vol_a3_per_cell": 87,
  "formation_energy_ev_per_atom": 1.179,
  "final_energy_ev_per_atom": -6.40,
  "space_group": "Pmmm (47)"
}

{
  "formula": "KZr2W",
  "functional": "PBEsol",
  "state": "relaxed",
  "cell": [[4.890, -1.406, 0.000], [4.890, 1.406, 0.000], [-0.244, 0.000, 7.579]],
  "species": ["K", "Zr", "Zr", "W"],
  "frac_coords": [[0.000, 0.000, 0.000], [0.501, 0.501, 0.544], [0.761, 0.761, 0.345], [0.241, 0.241, 0.673]],
  "crystal_system": "monoclinic",
  "vol_a3_per_cell": 104,
  "formation_energy_ev_per_atom": 0.924,
  "final_energy_ev_per_atom": -7.36,
  "space_group": "Cm (8)"
}

{
  "formula": "KY2",
  "functional": "PBEsol",
  "state": "relaxed",
  "cell": [[1.726, -10.015, 0.000], [1.726, 10.015, 0.000], [0.000, 0.000, 6.291]],
  "species": ["K", "K", "Y", "Y", "Y", "Y"],
  "frac_coords": [[0.116, 0.884, 0.750], [0.884, 0.116, 0.250], [0.215, 0.785, 0.250], [0.443, 0.557, 0.750], [0.557, 0.443, 0.250], [0.785, 0.215, 0.750]],
  "crystal_system": "orthorhombic",
  "vol_a3_per_cell": 217,
  "formation_energy_ev_per_atom": 0.566,
  "final_energy_ev_per_atom": -4.36,
  "space_group": "Cmcm (63)"
}

{
  "formula": "KY3",
  "functional": "PBEsol",
  "state": "relaxed",
  "cell": [[3.468, 0.000, 0.000], [0.000, 5.840, 0.000], [0.000, 0.000, 6.968]],
  "species": ["K", "Y", "Y", "Y"],
  "frac_coords": [[0.000, 0.000, 0.000], [0.000, 0.500, 0.332], [0.500, 0.000, 0.498], [0.500, 0.500, 0.760]],
  "crystal_system": "orthorhombic",
  "vol_a3_per_cell": 141,
  "formation_energy_ev_per_atom": 0.430,
  "final_energy_ev_per_atom": -4.97,
  "space_group": "Pmm2 (25)"
}

{
  "formula": "K4Y",
  "functional": "PBEsol",
  "state": "relaxed",
  "cell": [[-4.543, 4.543, 4.543], [4.543, -4.543, 4.543], [4.543, 4.543, -4.543]],
  "species": ["K", "K", "K", "K", "Y"],
  "frac_coords": [[0.000, 0.000, 0.500], [0.000, 0.500, 0.000], [0.500, 0.000, 0.000], [0.500, 0.500, 0.500], [0.000, 0.000, 0.000]],
  "crystal_system": "cubic",
  "vol_a3_per_cell": 375,
  "formation_energy_ev_per_atom": 0.674,
  "final_energy_ev_per_atom": -1.60,
  "space_group": "Im-3m (229)"
}

{
  "formula": "K2YZn",
  "functional": "PBEsol",
  "state": "relaxed",
  "cell": [[3.840, 0.000, 0.000], [0.000, 5.319, 0.000], [0.000, 0.000, 6.522]],
  "species": ["K", "K", "Y", "Zn"],
  "frac_coords": [[0.000, 0.000, 0.000], [0.500, 0.500, 0.000], [0.000, 0.500, 0.500], [0.500, 0.000, 0.500]],
  "crystal_system": "orthorhombic",
  "vol_a3_per_cell": 133,
  "formation_energy_ev_per_atom": 0.454,
  "final_energy_ev_per_atom": -2.21,
  "space_group": "Pmmm (47)"
}

{
  "formula": "K2YZn",
  "functional": "PBEsol",
  "state": "relaxed",
  "cell": [[3.361, -6.065, 0.000], [3.361, 6.065, 0.000], [0.000, 0.000, 3.587]],
  "species": ["K", "K", "Y", "Zn"],
  "frac_coords": [[0.000, 0.500, 0.000], [0.500, 0.000, 0.000], [0.000, 0.000, 0.500], [0.500, 0.500, 0.500]],
  "crystal_system": "orthorhombic",
  "vol_a3_per_cell": 146,
  "formation_energy_ev_per_atom": 0.567,
  "final_energy_ev_per_atom": -2.10,
  "space_group": "Cmmm (65)"
}

{
  "formula": "KYZn4",
  "functional": "PBEsol",
  "state": "relaxed",
  "cell": [[0.000, 3.891, 3.891], [3.891, 0.000, 3.891], [3.891, 3.891, 0.000]],
  "species": ["K", "Y", "Zn", "Zn", "Zn", "Zn"],
  "frac_coords": [[0.000, 0.000, 0.000], [0.750, 0.750, 0.750], [0.376, 0.376, 0.376], [0.376, 0.376, 0.871], [0.376, 0.871, 0.376], [0.871, 0.376, 0.376]],
  "crystal_system": "cubic",
  "vol_a3_per_cell": 118,
  "formation_energy_ev_per_atom": 0.014,
  "final_energy_ev_per_atom": -2.37,
  "space_group": "F-43m (216)"
}

{
  "formula": "KY2Zr",
  "functional": "PBEsol",
  "state": "relaxed",
  "cell": [[3.267, 0.000, 0.000], [0.000, 5.397, 0.000], [-1.587, 0.000, 7.681]],
  "species": ["K", "Y", "Y", "Zr"],
  "frac_coords": [[0.000, 0.000, 0.000], [0.651, 0.500, 0.310], [0.760, 0.000, 0.535], [0.323, 0.500, 0.665]],
  "crystal_system": "monoclinic",
  "vol_a3_per_cell": 135,
  "formation_energy_ev_per_atom": 0.535,
  "final_energy_ev_per_atom": -5.43,
  "space_group": "Pm (6)"
}

{
  "formula": "KYZr3",
  "functional": "PBEsol",
  "state": "relaxed",
  "cell": [[5.348, 0.000, 0.000], [0.000, 5.348, 0.000], [0.000, 0.000, 5.348]],
  "species": ["K", "Y", "Zr", "Zr", "Zr"],
  "frac_coords": [[0.000, 0.000, 0.000], [0.500, 0.500, 0.500], [0.000, 0.500, 0.500], [0.500, 0.000, 0.500], [0.500, 0.500, 0.000]],
  "crystal_system": "cubic",
  "vol_a3_per_cell": 153,
  "formation_energy_ev_per_atom": 1.437,
  "final_energy_ev_per_atom": -5.61,
  "space_group": "Pm-3m (221)"
}

{
  "formula": "KY2Zr",
  "functional": "PBEsol",
  "state": "relaxed",
  "cell": [[5.741, -1.645, 0.000], [5.741, 1.645, 0.000], [-0.732, 0.000, 6.818]],
  "species": ["K", "Y", "Y", "Zr"],
  "frac_coords": [[0.000, 0.000, 0.000], [0.510, 0.510, 0.525], [0.761, 0.761, 0.290], [0.243, 0.243, 0.681]],
  "crystal_system": "monoclinic",
  "vol_a3_per_cell": 129,
  "formation_energy_ev_per_atom": 0.550,
  "final_energy_ev_per_atom": -5.42,
  "space_group": "Cm (8)"
}

{
  "formula": "KZn2",
  "functional": "PBEsol",
  "state": "relaxed",
  "cell": [[6.230, -2.166, 0.000], [6.230, 2.166, 0.000], [-3.401, 0.000, 5.797]],
  "species": ["K", "K", "Zn", "Zn", "Zn", "Zn"],
  "frac_coords": [[0.106, 0.106, 0.297], [0.894, 0.894, 0.703], [0.215, 0.215, 0.891], [0.398, 0.398, 0.309], [0.602, 0.602, 0.691], [0.785, 0.785, 0.109]],
  "crystal_system": "monoclinic",
  "vol_a3_per_cell": 156,
  "formation_energy_ev_per_atom": 0.088,
  "final_energy_ev_per_atom": -1.34,
  "space_group": "C2/m (12)"
}

{
  "formula": "KZn2",
  "functional": "PBEsol",
  "state": "relaxed",
  "cell": [[-2.266, 2.266, 7.714], [2.266, -2.266, 7.714], [2.266, 2.266, -7.714]],
  "species": ["K", "K", "Zn", "Zn", "Zn", "Zn"],
  "frac_coords": [[0.375, 0.625, 0.750], [0.625, 0.375, 0.250], [0.041, 0.791, 0.250], [0.209, 0.959, 0.250], [0.791, 0.041, 0.750], [0.959, 0.209, 0.750]],
  "crystal_system": "tetragonal",
  "vol_a3_per_cell": 158,
  "formation_energy_ev_per_atom": 0.182,
  "final_energy_ev_per_atom": -1.25,
  "space_group": "I4_1/amd (141)"
}